# AlV2HgPt | the Alexandria database | PBE | relaxed
data_AlV2HgPt
_symmetry_space_group_name_H-M 'P 4/m m m'
_symmetry_Int_Tables_number 123
_symmetry_space_group_name_Hall '-P 4 2'
_cell_length_a 4.8260
_cell_length_b 4.8260
_cell_length_c 5.1497
_cell_angle_alpha 90.00
_cell_angle_beta 90.00
_cell_angle_gamma 90.00
loop_
_atom_site_label
_atom_site_type_symbol
_atom_site_fract_x
_atom_site_fract_y
_atom_site_fract_z
Al1 Al 0.0000 0.0000 0.0000
V1 V 0.0000 0.5000 0.5000
Hg1 Hg 0.5000 0.5000 0.0000
Pt1 Pt 0.5000 0.5000 0.5000
# raw total energy	-23.89	eV for the cell shown
# energy of formation	427	kJ/mol of formula units